Record 1
Entry from Alexandria via LeMat-Bulk: a geometry-optimized AcCePm2 structure (PBE).

**Total moment**: 0.00 μB/cell
**Space-group type**: No. 166
**DOS at the Fermi energy**: 2.12 states/eV/atom
**ΔE_f**: 0.808 eV per atom

extended XYZ file:
```
4
Lattice="-2.6839 -2.3199 2.1168 1.3079 -3.3762 1.9892 1.2993 3.7303 9.7665" Properties=species:S:1:pos:R:3 pbc="T T T"
Pm -0.7742 -3.7690 6.9809
Pm 0.6975 1.8033 6.8916
Ce -0.0383 -0.9829 6.9363
Ac 0.0000 0.0000 0.0000
```

Record 2
Entry from Alexandria via LeMat-Bulk: a geometry-optimized Tb5Sm2YIn structure (PBE).

**Total moment**: 0.00 μB/cell
**Space-group type**: No. 63
**DOS at the Fermi energy**: 1.45 states/eV/atom
**ΔE_f**: -0.014 eV per atom

extended XYZ file:
```
18
Lattice="5.4127 0.0000 0.0000 -2.7063 9.9865 0.0000 0.0000 0.0000 10.6803" Properties=species:S:1:pos:R:3 pbc="T T T"
Tb 2.7063 9.7071 5.4283
Tb 0.0000 5.8140 3.2802
Tb 0.0000 0.2794 0.0881
Tb 0.0000 5.8180 7.5776
Tb 2.7063 0.0002 2.7567
Tb 2.7063 4.1685 2.2375
Tb 0.0000 7.6951 0.0877
Tb 0.0000 9.9863 8.0969
Tb 2.7063 2.2914 5.4278
Tb 2.7063 4.1725 8.6204
Sm 0.0000 2.3215 7.6166
Sm 0.0000 2.3190 3.2396
Sm 2.7063 7.6650 2.2765
Sm 2.7063 7.6675 8.5797
Y 2.7063 5.8623 5.4290
Y 0.0000 4.1242 0.0889
In 0.0000 8.0920 5.4255
In 2.7063 1.8945 0.0853
```

Record 3
Entry from Alexandria via LeMat-Bulk: a geometry-optimized LaGeRuN structure (PBE).

**Total moment**: 0.00 μB/cell
**Space-group type**: No. 129
**DOS at the Fermi energy**: 0.49 states/eV/atom
**Formation energy from raw total energies**: -0.789 eV/atom

extended XYZ file:
```
8
Lattice="4.0617 0.0000 0.0000 0.0000 4.0617 0.0000 0.0000 0.0000 8.5798" Properties=species:S:1:pos:R:3 pbc="T T T"
Ge 0.0000 2.0309 2.9496
Ge 2.0309 0.0000 5.6303
La 2.0309 0.0000 1.3122
La 0.0000 2.0309 7.2677
Ru 2.0309 2.0309 4.2899
Ru 0.0000 0.0000 4.2899
N 0.0000 2.0309 1.0294
N 2.0309 0.0000 7.5504
```

Record 4
Entry from Alexandria via LeMat-Bulk: a geometry-optimized Ce2Nd4Pb3N2 structure (PBE).

**Total moment**: 1.23 μB/cell
**Space-group type**: No. 139
**DOS at the Fermi energy**: 1.25 states/eV/atom
**Formation energy from raw total energies**: -0.810 eV/atom

extended XYZ file:
```
11
Lattice="-2.6176 -2.4527 3.3660 1.4153 -4.2629 -2.0056 10.9706 3.0964 7.1932" Properties=species:S:1:pos:R:3 pbc="T T T"
Ce 6.4006 -0.1614 4.8599
Ce 3.3678 -3.4579 3.6937
N 1.6371 -3.4142 2.3797
N 8.1312 -0.2050 6.1739
Nd 2.4524 -2.1754 0.3220
Nd 7.3159 -1.4438 8.2317
Nd 9.3324 -2.3489 5.5458
Nd 0.4360 -1.2703 3.0078
Pb 3.7099 -0.0935 2.8169
Pb 6.0585 -3.5257 5.7367
Pb 0.0000 0.0000 0.0000
```

| no. | total DFT energy (no corrections) (eV/atom) |
| --- | --- |
| 1 | -4.077 |
| 2 | -4.657 |
| 3 | -7.576 |
| 4 | -6.148 |